1.
Entry from the Alexandria database: LiHfSc2 after structural relaxation (GGA-PBE).

a b c (Å): 3.1992 3.1992 8.9139
angles (deg): 90.00 90.00 90.00
Last column: nearest neighbours and their distance in Å.
Atoms (fractional coordinates):
Hf 0.5000 0.5000 0.5000  8 Sc 3.12, 4 Hf 3.20
Sc 0.0000 0.0000 0.2582  4 Hf 3.12, 4 Sc 3.20, 4 Li 3.23
Sc 0.0000 0.0000 0.7418  4 Hf 3.12, 4 Sc 3.20, 4 Li 3.23
Li 0.5000 0.5000 0.0000  4 Li 3.20, 8 Sc 3.23

Results
DOS(E_F)   1.10 states/eV per atom
Volume   22.808 A^3/atom
ΔE to the lowest computed polymorph   0.000 eV/atom

2.
Entry from the Alexandria database: SmNb2C after structural relaxation (GGA-PBE).

a b c (Å): 3.1906 3.1906 8.8202
angles (deg): 79.58 79.58 60.00
Last column: nearest neighbours and their distance in Å.
Atoms (fractional coordinates):
Nb 0.8792 0.8792 0.3624  3 C 2.19
Nb 0.1208 0.1208 0.6376  3 C 2.19
C 0.5000 0.5000 0.5000  6 Nb 2.19
Sm 0.0000 0.0000 0.0000  2 Nb 3.13, 6 Sm 3.19

Results
DOS(E_F)   0.75 states/eV per atom
Volume   19.011 A^3/atom
DFT total energy   -8.501 eV/atom

3.
Entry from the Alexandria database: TbDySb after structural relaxation (GGA-PBE).

a b c (Å): 4.0099 5.0558 5.0558
angles (deg): 120.00 90.00 90.00
Last column: nearest neighbours and their distance in Å.
Atoms (fractional coordinates):
Tb 0.6097 0.6667 0.3333  3 Sb 3.16, 3 Dy 3.48
Dy 0.0809 0.0000 0.0000  3 Sb 3.06
Sb 0.3095 0.3333 0.6667  3 Dy 3.06, 3 Tb 3.16

Results
DOS(E_F)   0.97 states/eV per atom
Volume   29.588 A^3/atom
Uncorrected formation energy   -0.426 eV/atom

4.
Entry from the Alexandria database: MnAlFe after structural relaxation (GGA-PBE).

a b c (Å): 2.8459 2.8459 8.7588
angles (deg): 90.00 90.00 90.00
Last column: nearest neighbours and their distance in Å.
Atoms (fractional coordinates):
Mn 0.0000 0.5000 0.5703  4 Mn 2.36, 4 Al 2.57
Mn 0.5000 0.0000 0.4297  4 Mn 2.36, 4 Al 2.57
Al 0.0000 0.5000 0.2469  5 Fe 2.52-2.81, 4 Mn 2.57
Al 0.5000 0.0000 0.7531  5 Fe 2.52-2.81, 4 Mn 2.57
Fe 0.0000 0.5000 0.9257  4 Fe 2.40, 4 Al 2.52
Fe 0.5000 0.0000 0.0743  4 Fe 2.40, 4 Al 2.52

Results
DOS(E_F)   0.90 states/eV per atom
Volume   11.823 A^3/atom
DFT total energy   -7.343 eV/atom

5.
Entry from the Alexandria database: Ac2Zn3Ag4Sn after structural relaxation (GGA-PBE).

a b c (Å): 4.5541 4.5541 11.2621
angles (deg): 90.00 90.00 90.00
Last column: nearest neighbours and their distance in Å.
Atoms (fractional coordinates):
Ac 0.5000 0.0000 0.2447  8 Ag 3.46-3.58, 6 Zn 3.49-3.67, 2 Sn 3.67
Ac 0.0000 0.5000 0.7553  8 Ag 3.46-3.58, 6 Zn 3.49-3.67, 2 Sn 3.67
Ag 0.0000 0.5000 0.3565  3 Zn 2.60-2.79, 2 Sn 2.79
Ag 0.5000 0.0000 0.6435  3 Zn 2.60-2.79, 2 Sn 2.79
Ag 0.5000 0.5000 0.0000  4 Zn 2.68
Ag 0.0000 0.0000 0.0000  4 Zn 2.68
Zn 0.0000 0.5000 0.1254  5 Ag 2.60-2.68
Zn 0.5000 0.0000 0.8746  5 Ag 2.60-2.68
Zn 0.0000 0.0000 0.5000  4 Ag 2.79
Sn 0.5000 0.5000 0.5000  4 Ag 2.79

Results
DOS(E_F)   0.68 states/eV per atom
Volume   23.357 A^3/atom
DFT total energy   -3.024 eV/atom

6.
Entry from the Alexandria database: NaScCd17 after structural relaxation (GGA-PBE).

a b c (Å): 7.7184 7.7184 7.7184
angles (deg): 80.60 80.60 80.60
Last column: nearest neighbours and their distance in Å.
Atoms (fractional coordinates):
Cd 0.9174 0.9174 0.9174  4 Cd 2.88
Cd 0.3032 0.0012 0.6951  6 Cd 2.91-3.09
Cd 0.6951 0.3032 0.0012  6 Cd 2.91-3.09
Cd 0.9691 0.5355 0.9691  7 Cd 2.88-3.09
Cd 0.3436 0.8958 0.3436  7 Cd 2.89-3.03, 1 Sc 3.20
Cd 0.9691 0.9691 0.5355  7 Cd 2.88-3.09
Cd 0.3436 0.3436 0.8958  7 Cd 2.89-3.03, 1 Sc 3.20
Cd 0.3032 0.6951 0.0012  6 Cd 2.91-3.09
Cd 0.8958 0.3436 0.3436  7 Cd 2.89-3.03, 1 Sc 3.20
Cd 0.2419 0.5971 0.5971  4 Cd 2.89-3.09, 1 Sc 3.22
Cd 0.5971 0.2419 0.5971  4 Cd 2.89-3.09, 1 Sc 3.22
Cd 0.5971 0.5971 0.2419  4 Cd 2.89-3.09, 1 Sc 3.22
Cd 0.0012 0.3032 0.6951  6 Cd 2.91-3.09
Cd 0.5355 0.9691 0.9691  7 Cd 2.88-3.09
Cd 0.0012 0.6951 0.3032  6 Cd 2.91-3.09
Cd 0.6951 0.0012 0.3032  6 Cd 2.91-3.09
Cd 0.1048 0.1048 0.1048  4 Cd 2.88-2.93
Sc 0.3174 0.3174 0.3174  13 Cd 3.20-3.48
Na 0.6688 0.6688 0.6688  16 Cd 3.46-3.85

Results
DOS(E_F)   0.38 states/eV per atom
Volume   23.322 A^3/atom
DFT total energy   -1.253 eV/atom

7.
Entry from the Alexandria database: SiAg2Mo after structural relaxation (GGA-PBE).

a b c (Å): 5.7210 5.7210 4.5515
angles (deg): 66.52 66.52 28.41
Last column: nearest neighbours and their distance in Å.
Atoms (fractional coordinates):
Ag 0.9755 0.9755 0.0246  2 Si 2.68, 6 Ag 2.72-2.81
Ag 0.5245 0.5245 0.4754  2 Si 2.68, 6 Ag 2.72-2.81
Mo 0.7500 0.7500 0.7500  4 Si 2.67, 2 Mo 2.81
Si 0.2500 0.2500 0.2500  4 Mo 2.67, 4 Ag 2.68, 2 Si 2.81

Results
DOS(E_F)   0.78 states/eV per atom
Volume   16.153 A^3/atom
Uncorrected formation energy   0.236 eV/atom

8.
Entry from the Alexandria database: CaMg2Cu3 after structural relaxation (GGA-PBE).

a b c (Å): 6.2148 6.2148 6.2148
angles (deg): 47.48 47.48 47.48
Last column: nearest neighbours and their distance in Å.
Atoms (fractional coordinates):
Mg 0.9155 0.9155 0.9155  1 Mg 2.79, 6 Cu 2.86
Mg 0.0845 0.0845 0.0845  1 Mg 2.79, 6 Cu 2.86
Ca 0.5000 0.5000 0.5000  6 Cu 3.11, 6 Mg 3.19
Cu 0.5000 0.5000 0.0000  4 Cu 2.50
Cu 0.0000 0.5000 0.5000  4 Cu 2.50
Cu 0.5000 0.0000 0.5000  4 Cu 2.50

Results
DOS(E_F)   0.55 states/eV per atom
Volume   19.886 A^3/atom
DFT total energy   -2.861 eV/atom

9.
Entry from the Alexandria database: BaSiRh after structural relaxation (GGA-PBE).

a b c (Å): 4.8080 4.8080 4.8080
angles (deg): 60.00 60.00 60.00
Last column: nearest neighbours and their distance in Å.
Atoms (fractional coordinates):
Rh 0.5000 0.5000 0.5000  4 Si 2.94
Si 0.2500 0.2500 0.2500  4 Ba 2.94, 4 Rh 2.94
Ba 0.0000 0.0000 0.0000  4 Si 2.94

Results
DOS(E_F)   1.28 states/eV per atom
Volume   26.197 A^3/atom
Uncorrected formation energy   0.354 eV/atom

10.
Entry from the Alexandria database: Ca4Mg2Zn after structural relaxation (GGA-PBE).

a b c (Å): 9.3888 9.3888 9.3888
angles (deg): 34.02 34.02 34.02
Last column: nearest neighbours and their distance in Å.
Atoms (fractional coordinates):
Mg 0.7471 0.7471 0.7471  8 Ca 3.22-3.44
Mg 0.2529 0.2529 0.2529  8 Ca 3.22-3.44
Ca 0.1231 0.1231 0.1231  1 Zn 3.26, 4 Mg 3.37-3.44
Ca 0.6257 0.6257 0.6257  4 Mg 3.22-3.34, 3 Zn 3.35
Ca 0.3743 0.3743 0.3743  4 Mg 3.22-3.34, 3 Zn 3.35
Ca 0.8769 0.8769 0.8769  1 Zn 3.26, 4 Mg 3.37-3.44
Zn 0.0000 0.0000 0.0000  8 Ca 3.26-3.35

Results
DOS(E_F)   0.68 states/eV per atom
Volume   32.990 A^3/atom
ΔE to the lowest computed polymorph   0.000 eV/atom

11.
Entry from the Alexandria database: Ag2BCl after structural relaxation (GGA-PBE).

a b c (Å): 6.2255 6.2255 5.9172
angles (deg): 58.26 58.26 90.00
Last column: nearest neighbours and their distance in Å.
Atoms (fractional coordinates):
Ag 0.1952 0.6250 0.2500  2 B 2.16
Ag 0.5548 0.1250 0.2500  2 B 2.16
Ag 0.8750 0.8048 0.7500  2 B 2.16
Ag 0.3750 0.4452 0.7500  2 B 2.16
Cl 0.0000 0.0000 0.0000  4 Ag 2.72
Cl 0.7500 0.2500 0.5000  4 Ag 2.72
B 0.2500 0.7500 0.5000  4 Ag 2.16
B 0.5000 0.5000 0.0000  4 Ag 2.16

Results
DOS(E_F)   0.00 states/eV per atom
Volume   19.156 A^3/atom
ΔE to the lowest computed polymorph   0.000 eV/atom
Uncorrected formation energy   0.517 eV/atom

12.
Entry from the Alexandria database: Al2Ir2Pt after structural relaxation (GGA-PBE).

a b c (Å): 7.1902 7.1902 2.8440
angles (deg): 90.00 90.00 90.00
Last column: nearest neighbours and their distance in Å.
Atoms (fractional coordinates):
Ir 0.6531 0.8469 0.5000  6 Al 2.50-2.57
Ir 0.3469 0.1531 0.5000  6 Al 2.50-2.57
Ir 0.1531 0.6531 0.5000  6 Al 2.50-2.57
Ir 0.8469 0.3469 0.5000  6 Al 2.50-2.57
Al 0.3557 0.8557 0.0000  6 Ir 2.50-2.57, 2 Pt 2.76
Al 0.6443 0.1443 0.0000  6 Ir 2.50-2.57, 2 Pt 2.76
Al 0.1443 0.3557 0.0000  6 Ir 2.50-2.57, 2 Pt 2.76
Al 0.8557 0.6443 0.0000  6 Ir 2.50-2.57, 2 Pt 2.76
Pt 0.5000 0.5000 0.0000  4 Al 2.76, 2 Pt 2.84, 8 Ir 3.07
Pt 0.0000 0.0000 0.0000  4 Al 2.76, 2 Pt 2.84, 8 Ir 3.07

Results
DOS(E_F)   0.60 states/eV per atom
Volume   14.703 A^3/atom
DFT total energy   -6.817 eV/atom

13.
Entry from the Alexandria database: ScCd2Os after structural relaxation (GGA-PBE).

a b c (Å): 4.7313 4.7313 4.7313
angles (deg): 60.00 60.00 60.00
Last column: nearest neighbours and their distance in Å.
Atoms (fractional coordinates):
Cd 0.0000 0.0000 0.0000  4 Cd 2.90, 4 Sc 2.90
Cd 0.7500 0.7500 0.7500  4 Os 2.90, 4 Cd 2.90
Os 0.5000 0.5000 0.5000  4 Cd 2.90, 4 Sc 2.90
Sc 0.2500 0.2500 0.2500  4 Os 2.90, 4 Cd 2.90

Results
DOS(E_F)   0.54 states/eV per atom
Volume   18.722 A^3/atom
ΔE to the lowest computed polymorph   0.128 eV/atom

14.
Entry from the Alexandria database: Cs2SrBr after structural relaxation (GGA-PBE).

a b c (Å): 7.3018 7.3018 7.3018
angles (deg): 60.00 60.00 60.00
Last column: nearest neighbours and their distance in Å.
Atoms (fractional coordinates):
Sr 0.5000 0.5000 0.5000  8 Cs 4.47
Cs 0.7500 0.7500 0.7500  4 Br 4.47, 4 Sr 4.47
Cs 0.2500 0.2500 0.2500  4 Br 4.47, 4 Sr 4.47
Br 0.0000 0.0000 0.0000  8 Cs 4.47

Results
DOS(E_F)   1.02 states/eV per atom
Volume   68.820 A^3/atom
ΔE to the lowest computed polymorph   0.362 eV/atom
Uncorrected formation energy   -0.348 eV/atom

15.
Entry from the Alexandria database: LaCe4Ga3 after structural relaxation (GGA-PBE).

a b c (Å): 4.5351 4.7357 11.7321
angles (deg): 125.96 101.14 90.00
Last column: nearest neighbours and their distance in Å.
Atoms (fractional coordinates):
Ga 0.7497 0.6877 0.4994  2 Ga 2.89, 8 Ce 3.11-3.17
Ga 0.0000 0.5000 0.0000  6 Ce 3.25-3.41, 4 La 3.28
Ga 0.2503 0.3123 0.5006  2 Ga 2.89, 8 Ce 3.11-3.17
Ce 0.1384 0.4791 0.2767  2 Ce 2.90, 5 Ga 3.11-3.25
Ce 0.3624 0.1405 0.7248  2 Ce 2.90, 4 Ga 3.13-3.15
Ce 0.8616 0.5209 0.7233  2 Ce 2.90, 5 Ga 3.11-3.25
Ce 0.6376 0.8595 0.2752  2 Ce 2.90, 4 Ga 3.13-3.15
La 0.5000 0.0000 0.0000  4 Ga 3.28, 8 Ce 3.34-3.61

Results
DOS(E_F)   2.15 states/eV per atom
Volume   24.757 A^3/atom
DFT total energy   -5.051 eV/atom

no.,magnetization (μB per formula unit)
1,0.0
2,0.0
3,0.0
4,1.9
5,0.0
6,0.0
7,0.0
8,0.0
9,0.0
10,0.0
11,0.0
12,0.0
13,0.0
14,1.0
15,1.8